# 1
# CoBiTe2, optimized geometry, DFT GGA-PBE
data_CoBiTe2
_chemical_formula_sum 'Co2 Bi2 Te4'
_cell_length_a 7.4241
_cell_length_b 7.4241
_cell_length_c 7.4241
_cell_angle_alpha 127.33
_cell_angle_beta 127.33
_cell_angle_gamma 77.72
_space_group_name_H-M_alt 'P 1'
_space_group_IT_number 1
loop_
_space_group_symop_operation_xyz
'x,y,z'
loop_
_atom_site_label
_atom_site_fract_x
_atom_site_fract_y
_atom_site_fract_z
Co1 0.0000 0.0000 0.0000
Co2 0.7500 0.2500 0.5000
Bi1 0.2500 0.7500 0.5000
Bi2 0.5000 0.5000 0.0000
Te1 0.0392 0.6250 0.9142
Te2 0.3750 0.2892 0.4142
Te3 0.7108 0.1250 0.0858
Te4 0.8750 0.9608 0.5858
# E_form (uncorrected) = 0.118 eV/atom
# volume = 251 Å³ per cell
# space-group type = I-42d, No. 122
# uncorrected energy = -4.1996 eV/atom


# 2
# ZrCoBiTe2, optimized geometry, DFT GGA-PBE
data_ZrCoBiTe2
_chemical_formula_sum 'Zr1 Co1 Bi1 Te2'
_cell_length_a 5.5246
_cell_length_b 5.5246
_cell_length_c 5.7816
_cell_angle_alpha 90.00
_cell_angle_beta 90.00
_cell_angle_gamma 90.00
_space_group_name_H-M_alt 'P 1'
_space_group_IT_number 1
loop_
_space_group_symop_operation_xyz
'x,y,z'
loop_
_atom_site_label
_atom_site_fract_x
_atom_site_fract_y
_atom_site_fract_z
Zr1 0.0000 0.0000 0.0000
Co1 0.5000 0.5000 0.5000
Bi1 0.0000 0.0000 0.5000
Te1 0.0000 0.5000 0.0000
Te2 0.5000 0.0000 0.0000
# E_form (uncorrected) = 0.709 eV/atom
# volume = 176 Å³ per cell
# space-group type = P4/mmm, No. 123
# uncorrected energy = -4.4543 eV/atom


# 3
# Th3CoBi2, optimized geometry, DFT GGA-PBE
data_Th3CoBi2
_chemical_formula_sum 'Th6 Co2 Bi4'
_cell_length_a 6.6588
_cell_length_b 6.6588
_cell_length_c 8.3002
_cell_angle_alpha 101.85
_cell_angle_beta 101.85
_cell_angle_gamma 78.31
_space_group_name_H-M_alt 'P 1'
_space_group_IT_number 1
loop_
_space_group_symop_operation_xyz
'x,y,z'
loop_
_atom_site_label
_atom_site_fract_x
_atom_site_fract_y
_atom_site_fract_z
Th1 0.1082 0.8918 0.7500
Th2 0.2670 0.4426 0.0290
Th3 0.4426 0.2670 0.5290
Th4 0.5574 0.7330 0.4710
Th5 0.7330 0.5574 0.9710
Th6 0.8918 0.1082 0.2500
Co1 0.4018 0.5982 0.7500
Co2 0.5982 0.4018 0.2500
Bi1 0.0366 0.6340 0.3516
Bi2 0.3660 0.9634 0.1484
Bi3 0.6340 0.0366 0.8516
Bi4 0.9634 0.3660 0.6484
# E_form = -0.374 eV per atom
# volume = 348 Å³ per cell
# space-group type = C2/c, No. 15
# uncorrected energy = -6.5619 eV/atom


# 4
# Th4Co2Bi3, optimized geometry, DFT GGA-PBE
data_Th4Co2Bi3
_chemical_formula_sum 'Th4 Co2 Bi3'
_cell_length_a 6.3714
_cell_length_b 6.3714
_cell_length_c 9.0265
_cell_angle_alpha 107.33
_cell_angle_beta 107.33
_cell_angle_gamma 46.75
_space_group_name_H-M_alt 'P 1'
_space_group_IT_number 1
loop_
_space_group_symop_operation_xyz
'x,y,z'
loop_
_atom_site_label
_atom_site_fract_x
_atom_site_fract_y
_atom_site_fract_z
Th1 0.1279 0.1279 0.4054
Th2 0.3075 0.3075 0.8689
Th3 0.6925 0.6925 0.1311
Th4 0.8721 0.8721 0.5946
Co1 0.3752 0.3752 0.6172
Co2 0.6248 0.6248 0.3828
Bi1 0.0000 0.0000 0.0000
Bi2 0.3840 0.3840 0.3024
Bi3 0.6160 0.6160 0.6976
# E_form = -0.380 eV per atom
# volume = 252 Å³ per cell
# space-group type = C2/m, No. 12
# uncorrected energy = -6.5504 eV/atom